Computed, not measured: a geometry-optimized AcCoAsO structure at the GGA+U level of DFT.

a b c (Å): 4.496 6.628 6.302
angles (deg): 90.00 90.00 90.00
Positions (direct):
Ac (0.000, 0.247, 0.000)
Ac (0.000, 0.753, 0.500)
Co (0.500, 0.369, 0.608)
Co (0.500, 0.631, 0.108)
As (0.000, 0.233, 0.504)
As (0.000, 0.767, 0.004)
O (0.500, 0.370, 0.941)
O (0.500, 0.630, 0.441)

Summary:
As for the crystal system: orthorhombic. The calculation puts the theoretical density at 6.66 g cm⁻³. Its volume is 187.8 Å³ per cell. For the magnetization, the calculation gives 3.0 μB/f.u. The offset from the most stable computed form is 1.035 eV per formula unit.